[1]
Below is a relaxed structure of Y3SeCl7, with properties calculated at the PBE level.

Unit cell a=6.8534 b=8.0985 c=8.0985 alpha=120.00 beta=90.00 gamma=90.00
With the nearest neighbours (Å) after each atom.
Fractional positions:
1 Cl 0.9947 0.8218 0.1782  2 Y 2.67
2 Cl 0.5833 0.1780 0.3561  2 Y 2.66
3 Cl 0.9947 0.3564 0.1782  2 Y 2.67
4 Cl 0.5833 0.1780 0.8220  2 Y 2.66
5 Cl 0.5833 0.6439 0.8220  2 Y 2.66
6 Cl 0.9947 0.8218 0.6436  2 Y 2.67
7 Cl 0.0001 0.3333 0.6667  3 Y 2.85
8 Y 0.7787 0.5051 0.0102  5 Cl 2.66-2.85, 1 Se 2.78
9 Y 0.7787 0.9898 0.4949  5 Cl 2.66-2.85, 1 Se 2.78
10 Y 0.7787 0.5051 0.4949  5 Cl 2.66-2.85, 1 Se 2.78
11 Se 0.5451 0.6667 0.3333  3 Y 2.78

Output
Volume, Å³ per cell: 389.3
Total magnetic moment, Bohr magnetons per cell: 0.09
Formation energy without anion corrections, eV per atom: -2.20
Symmetry: P3m1, No. 156
VASP energy, eV for the cell shown: -59.95

[2]
Below is a relaxed structure of YSeCl2, with properties calculated at the PBE level.

Unit cell a=5.4744 b=5.4744 c=5.4744 alpha=132.93 beta=132.93 gamma=68.77
With the nearest neighbours (Å) after each atom.
Fractional positions:
1 Se 0.5000 0.5000 0.0000  8 Cl 3.09-3.14, 4 Y 3.14
2 Cl 0.2500 0.7500 0.5000  4 Y 3.09, 4 Cl 3.14, 4 Se 3.14
3 Cl 0.0000 0.0000 0.0000  4 Se 3.09, 4 Cl 3.14, 4 Y 3.14
4 Y 0.7500 0.2500 0.5000  8 Cl 3.09-3.14, 4 Se 3.14

Output
Volume, Å³ per cell: 86.4
Total magnetic moment, Bohr magnetons per cell: 0.00
Formation energy without anion corrections, eV per atom: -1.16
Symmetry: I-4m2, No. 119
VASP energy, eV for the cell shown: -18.27

[3]
Below is a relaxed structure of Y2SeCl, with properties calculated at the PBE level.

Unit cell a=3.7755 b=3.7755 c=8.0926 alpha=76.51 beta=76.51 gamma=60.00
With the nearest neighbours (Å) after each atom.
Fractional positions:
1 Se 0.6661 0.6661 0.0018  6 Y 2.81-2.84
2 Y 0.0774 0.0774 0.7679  3 Se 2.84, 3 Cl 3.02
3 Y 0.2566 0.2566 0.2301  3 Se 2.81, 3 Cl 3.03
4 Cl 0.5000 0.5000 0.5001  6 Y 3.02-3.03

Output
Volume, Å³ per cell: 96.2
Total magnetic moment, Bohr magnetons per cell: 0.40
Formation energy without anion corrections, eV per atom: -1.42
Symmetry: R3m, No. 160
VASP energy, eV for the cell shown: -23.94

[4]
Below is a relaxed structure of YSeCl2, with properties calculated at the PBE level.

Unit cell a=4.9691 b=4.9691 c=4.9691 alpha=60.00 beta=60.00 gamma=60.00
With the nearest neighbours (Å) after each atom.
Fractional positions:
1 Cl 0.7500 0.7500 0.7500  4 Se 3.04, 4 Y 3.04
2 Cl 0.2500 0.2500 0.2500  4 Se 3.04, 4 Y 3.04
3 Y 0.5000 0.5000 0.5000  8 Cl 3.04
4 Se 0.0000 0.0000 0.0000  8 Cl 3.04

Output
Volume, Å³ per cell: 86.8
Total magnetic moment, Bohr magnetons per cell: 0.96
Formation energy without anion corrections, eV per atom: -1.04
Symmetry: Fm-3m, No. 225
VASP energy, eV for the cell shown: -17.80

[5]
Below is a relaxed structure of YSeCl2, with properties calculated at the PBE level.

Unit cell a=10.8289 b=10.8289 c=10.8289 alpha=18.99 beta=18.99 gamma=18.99
With the nearest neighbours (Å) after each atom.
Fractional positions:
1 Cl 0.1127 0.1127 0.1127  3 Y 2.69
2 Cl 0.8873 0.8873 0.8873  3 Y 2.69
3 Se 0.0000 0.0000 0.0000  6 Se 3.57, 2 Cl 3.59
4 Y 0.5000 0.5000 0.5000  6 Cl 2.69

Output
Volume, Å³ per cell: 117.5
Total magnetic moment, Bohr magnetons per cell: 0.06
Formation energy without anion corrections, eV per atom: -1.05
Symmetry: R-3m, No. 166
VASP energy, eV for the cell shown: -17.84

[6]
Below is a relaxed structure of YSeCl2, with properties calculated at the PBE level.

Unit cell a=5.4461 b=5.4461 c=5.4461 alpha=131.74 beta=131.74 gamma=70.64
With the nearest neighbours (Å) after each atom.
Fractional positions:
1 Se 0.2500 0.7500 0.5000  8 Cl 3.15, 4 Y 3.15
2 Cl 0.0000 0.0000 0.0000  4 Se 3.15, 4 Y 3.15, 4 Cl 3.15
3 Cl 0.5000 0.5000 0.0000  4 Y 3.15, 4 Se 3.15, 4 Cl 3.15
4 Y 0.7500 0.2500 0.5000  8 Cl 3.15, 4 Se 3.15

Output
Volume, Å³ per cell: 88.1
Total magnetic moment, Bohr magnetons per cell: 1.01
Formation energy without anion corrections, eV per atom: -1.18
Symmetry: I4/mmm, No. 139
VASP energy, eV for the cell shown: -18.38

[7]
Below is a relaxed structure of Y4ZnSe2Cl, with properties calculated at the PBE level.

Unit cell a=3.9853 b=7.1498 c=7.1520 alpha=72.03 beta=90.00 gamma=90.00
With the nearest neighbours (Å) after each atom.
Fractional positions:
1 Y 0.5000 0.2542 0.7421  2 Zn 2.86, 3 Se 2.87-2.93, 1 Cl 2.91
2 Y 0.0000 0.2453 0.2682  1 Zn 2.82, 3 Se 2.83-2.97, 2 Cl 2.97
3 Y 0.0000 0.7547 0.7318  1 Zn 2.82, 3 Se 2.83-2.97, 2 Cl 2.97
4 Y 0.5000 0.7458 0.2579  2 Zn 2.86, 3 Se 2.87-2.93, 1 Cl 2.91
5 Zn 0.0000 0.5000 0.5000  6 Y 2.82-2.86
6 Cl 0.5000 0.5000 0.0000  6 Y 2.91-2.97
7 Se 0.0000 0.0000 0.0000  6 Y 2.93-2.97
8 Se 0.5000 0.0000 0.5000  6 Y 2.83-2.87

Output
Volume, Å³ per cell: 193.9
Total magnetic moment, Bohr magnetons per cell: 0.00
Formation energy without anion corrections, eV per atom: -1.29
Symmetry: P2/m, No. 10
VASP energy, eV for the cell shown: -46.28

[8]
Below is a relaxed structure of Zn2SeCl, with properties calculated at the PBE level.

Unit cell a=5.2775 b=6.3590 c=6.4557 alpha=79.80 beta=70.12 gamma=67.52
With the nearest neighbours (Å) after each atom.
Fractional positions:
1 Zn 0.6519 0.0727 0.5542  2 Cl 2.34-2.42, 2 Se 2.40-2.43
2 Zn 0.4291 0.6484 0.2460  2 Se 2.42-2.53, 2 Zn 2.56-2.64
3 Zn 0.0829 0.8174 0.0122  2 Cl 2.43-2.49, 1 Se 2.51, 1 Zn 2.56
4 Zn 0.2144 0.3681 0.1667  2 Se 2.45-2.48, 1 Cl 2.64, 1 Zn 2.64
5 Se 0.5663 0.9908 0.2345  4 Zn 2.43-2.53
6 Se 0.7547 0.4198 0.4554  3 Zn 2.40-2.45
7 Cl 0.9891 0.7651 0.6852  2 Zn 2.34-2.43
8 Cl 0.2019 0.1658 0.8485  3 Zn 2.42-2.64

Output
Volume, Å³ per cell: 188.0
Total magnetic moment, Bohr magnetons per cell: 0.00
Formation energy without anion corrections, eV per atom: -0.62
Symmetry: P1, No. 1
VASP energy, eV for the cell shown: -20.75

[9]
Below is a relaxed structure of Zn2SeCl, with properties calculated at the PBE level.

Unit cell a=3.6959 b=6.9691 c=3.5943 alpha=90.00 beta=90.00 gamma=90.00
With the nearest neighbours (Å) after each atom.
Fractional positions:
1 Cl 0.5000 0.0000 0.5000  4 Zn 2.58
2 Se 0.0000 0.5000 0.5000  4 Zn 2.58
3 Zn 0.5000 0.5000 0.0000  4 Se 2.58
4 Zn 0.0000 0.0000 0.0000  4 Cl 2.58

Output
Volume, Å³ per cell: 92.6
Total magnetic moment, Bohr magnetons per cell: 0.00
Formation energy without anion corrections, eV per atom: -0.23
Symmetry: Pmmm, No. 47
VASP energy, eV for the cell shown: -8.81

[10]
Below is a relaxed structure of Zn2SeCl, with properties calculated at the PBE level.

Unit cell a=5.4473 b=5.9866 c=6.8825 alpha=83.94 beta=68.30 gamma=65.72
With the nearest neighbours (Å) after each atom.
Fractional positions:
1 Cl 0.3750 0.9727 0.6019  2 Zn 2.34-2.43
2 Cl 0.6360 0.3528 0.7854  2 Zn 2.38-2.42
3 Se 0.7957 0.7764 0.9955  4 Zn 2.45-2.51
4 Se 0.2263 0.5493 0.3594  3 Zn 2.40-2.44
5 Zn 0.9805 0.1042 0.9377  2 Cl 2.38-2.43, 1 Se 2.49, 2 Zn 2.59-2.60
6 Zn 0.7854 0.6858 0.6597  2 Cl 2.34-2.42, 2 Se 2.40-2.45
7 Zn 0.0788 0.3906 0.1288  2 Se 2.44-2.49, 2 Zn 2.59-2.62
8 Zn 0.2607 0.9201 0.1905  2 Se 2.44-2.51, 2 Zn 2.60-2.62

Output
Volume, Å³ per cell: 189.8
Total magnetic moment, Bohr magnetons per cell: 0.00
Formation energy without anion corrections, eV per atom: -0.65
Symmetry: P1, No. 1
VASP energy, eV for the cell shown: -20.95

[11]
Below is a relaxed structure of ZnSeCl2, with properties calculated at the PBE level.

Unit cell a=4.8630 b=4.9039 c=4.8720 alpha=66.17 beta=79.23 gamma=113.77
With the nearest neighbours (Å) after each atom.
Fractional positions:
1 Zn 0.5000 0.5000 0.0000  4 Cl 2.67
2 Se 0.0000 0.5000 0.5000  4 Cl 2.67
3 Cl 0.0000 0.0000 0.0000  2 Zn 2.67, 2 Se 2.67
4 Cl 0.5000 0.0000 0.5000  2 Se 2.67, 2 Zn 2.67

Output
Volume, Å³ per cell: 88.4
Total magnetic moment, Bohr magnetons per cell: 0.00
Formation energy without anion corrections, eV per atom: -0.08
Symmetry: Fmmm, No. 69
VASP energy, eV for the cell shown: -8.79

[12]
Below is a relaxed structure of Zn2SeCl2, with properties calculated at the PBE level.

Unit cell a=7.4074 b=7.4074 c=4.4121 alpha=90.00 beta=90.00 gamma=90.00
With the nearest neighbours (Å) after each atom.
Fractional positions:
1 Zn 0.2287 0.7287 0.0000  2 Cl 2.35, 2 Se 2.63
2 Zn 0.2713 0.2287 0.0000  2 Cl 2.35, 2 Se 2.63
3 Zn 0.7287 0.7713 0.0000  2 Cl 2.35, 2 Se 2.63
4 Zn 0.7713 0.2713 0.0000  2 Cl 2.35, 2 Se 2.63
5 Cl 0.6504 0.8496 0.5000  2 Zn 2.35
6 Cl 0.1504 0.6504 0.5000  2 Zn 2.35
7 Cl 0.8496 0.3496 0.5000  2 Zn 2.35
8 Cl 0.3496 0.1504 0.5000  2 Zn 2.35
9 Se 0.0000 0.0000 0.0000  4 Zn 2.63
10 Se 0.5000 0.5000 0.0000  4 Zn 2.63

Output
Volume, Å³ per cell: 242.1
Total magnetic moment, Bohr magnetons per cell: 0.00
Formation energy without anion corrections, eV per atom: -0.43
Symmetry: P4/mbm, No. 127
VASP energy, eV for the cell shown: -23.76

- Which of these has the highest VASP energy?
  ZnSeCl2

- Look up the VASP energy of the tenth one.
  -20.95 eV for the cell shown

- The highest volume belongs to which entry?
  Y3SeCl7

- What is the formula in the sixth record?
  YSeCl2